Compound: GaSiP2Br
Source: Alexandria
Functional: PBE
Structure: relaxed

Output
Space group: P4/mmm (123)
ΔE_f (raw): 2.3 eV per formula unit

POSCAR file:
```
GaSiP2Br
1.0
-1.472 2.147 3.641
-0.536 -5.150 2.820
4.207 0.374 1.481
P Si Ga Br
2 1 1 1
Cartesian
-0.736 1.073 1.820
2.104 0.187 0.741
0.000 0.000 0.000
1.100 -1.315 3.971
-0.268 -2.575 1.410
```